Record 1
The following is a DFT calculation (PBE) of an optimized crystal structure of Nd4Dy3Y3.

The calculated volume is 33.5 A^3/atom. The value obtained for the formation energy is 9 kJ per mole of atoms.

The structure belongs to space group Amm2 (No. 38); the cell edges are 3.824, 13.227 and 13.242 Å and the angles 90.00°, 90.00° and 90.00°. The inequivalent atoms are Nd at (0.000, 0.000, 0.000), Nd at (0.000, 0.000, 0.262), Nd at (0.000, 0.132, 0.629), Dy at (0.500, 0.000, 0.462), Dy at (0.500, 0.168, 0.130), Y at (0.000, 0.250, 0.380) and Y at (0.500, 0.000, 0.798).

***

Record 2
The following is a DFT calculation (PBE) of an optimized crystal structure of LaZnPd2.

The calculated volume is 19.9 A^3/atom. The value obtained for the formation energy is -72 kJ per mole of atoms.

The structure belongs to space group Pnma (No. 62); the cell edges are 7.548, 7.174 and 5.879 Å and the angles 90.00°, 90.00° and 90.00°. The inequivalent atoms are La at (0.032, 0.250, 0.146), Zn at (0.117, 0.750, 0.348) and Pd at (0.180, 0.051, 0.585).

***

Record 3
The following is a DFT calculation (PBE) of an optimized crystal structure of ZrTc5.

The calculated volume is 15.7 A^3/atom. For the energy above the most stable polymorph in this dataset, the calculation gives 34 meV per atom. The value obtained for the formation energy is 6 kJ per mole of atoms.

The structure belongs to space group Cmmm (No. 65); the cell edges are 3.134, 13.512 and 4.451 Å and the angles 90.00°, 90.00° and 90.00°. The inequivalent atoms are Zr at (0.000, 0.000, 0.000), Tc at (0.000, 0.168, 0.500), Tc at (0.000, 0.326, 0.000) and Tc at (0.000, 0.500, 0.500).

***

Record 4
The following is a DFT calculation (PBE) of an optimized crystal structure of Li2BeCl.

The calculated volume is 18.0 A^3/atom. For the energy above the most stable polymorph in this dataset, the calculation gives 388 meV per atom.

The structure belongs to space group Fm-3m (No. 225); the cell edges are 6.604, 6.604 and 6.604 Å and the angles 90.00°, 90.00° and 90.00°. The inequivalent atoms are Li at (0.250, 0.250, 0.250), Be at (0.000, 0.000, 0.000) and Cl at (0.000, 0.000, 0.500).